BeNi3Cl: single point on PBEsol structure, meta-GGA SCAN.

Formation energy from raw total energies in eV per atom: 0.82
Electronic total energy in eV for the cell shown: -56.728
M_tot in μB/cell: 0.00

The structure in CIF format:
```
data_BeNi3Cl
_cell_length_a 4.037
_cell_length_b 4.037
_cell_length_c 4.037
_cell_angle_alpha 90.00
_cell_angle_beta 90.00
_cell_angle_gamma 90.00
_space_group_name_H-M_alt 'P m -3 m'
_space_group_IT_number 221
_space_group_name_Hall '-P 4 2 3'
loop_
_atom_site_label
_atom_site_type_symbol
_atom_site_fract_x
_atom_site_fract_y
_atom_site_fract_z
_atom_site_occupancy
Be1 Be 0.000 0.000 0.000 1
Ni1 Ni 0.000 0.500 0.500 1
Cl1 Cl 0.500 0.500 0.500 1
```